DFT (PBE with a Hubbard U) results for an optimized crystal structure of Li4Cr3Cu3Sb2O16.

a = 5.9418 Å, b = 5.9399 Å, c = 9.6635 Å
α = 90.01°, β = 89.39°, γ = 119.98°
Positions (direct):
1 Cu 0.1683 0.8285 0.2138
2 O 0.4929 0.5254 0.3470
3 Cu 0.3388 0.1695 0.7144
4 O 0.6677 0.3339 0.6104
5 Li 0.0085 0.0044 0.9922
6 Sb 0.3368 0.6683 0.4880
7 O 0.9621 0.4811 0.8418
8 Sb 0.6650 0.3327 0.9872
9 O 0.0364 0.5176 0.3483
10 O 0.5187 0.0343 0.8444
11 O 0.8274 0.6686 0.0914
12 Li 0.0119 0.0060 0.4887
13 O 0.5189 0.4849 0.8444
14 O 0.1628 0.3299 0.5934
15 O 0.8267 0.1585 0.0912
16 Li 0.3245 0.6624 0.9033
17 O 0.4916 0.9670 0.3467
18 Li 0.6633 0.3315 0.4048
19 Cu 0.1686 0.3397 0.2137
20 O 0.9975 0.9988 0.8050
21 O 0.6722 0.8362 0.5953
22 Cr 0.6584 0.8293 0.2133
23 O 0.3297 0.1651 0.0952
24 O 0.1626 0.8326 0.5933
25 Cr 0.8289 0.6603 0.7137
26 O 0.3253 0.6624 0.1133
27 Cr 0.8289 0.1687 0.7137
28 O 0.0054 0.0029 0.2999

## Properties
V, Å³ per atom: 10.6
Total magnetization, Bohr magnetons per cell: 9.7
N(E_F), states/eV/atom: 0.268
Symmetry: Cm, No. 8
Crystal system: monoclinic
Final energy, Ry per atom: -0.4498